Entry 1:
LiBi2MoO6 PBE+U optimized geometry; total DFT energy (no corrections) = -6.171 eV per atom; symmetry = P2_1/c (14)
1.0
-3.097 -3.222 3.329
1.055 -4.709 -3.576
6.491 -1.782 4.262
O Bi Mo Li
12 4 2 2
Direct
0.110 0.450 0.755
0.890 0.550 0.245
0.836 0.768 0.935
0.664 0.268 0.565
0.390 0.950 0.745
0.177 0.168 0.471
0.610 0.050 0.255
0.677 0.332 0.971
0.323 0.668 0.029
0.164 0.232 0.065
0.336 0.732 0.435
0.823 0.832 0.529
0.996 0.930 0.273
0.496 0.570 0.773
0.504 0.430 0.227
0.004 0.070 0.727
0.500 0.000 0.500
0.000 0.500 0.000
0.500 0.000 0.000
0.000 0.500 0.500



Entry 2:
Li2BiMoO6 PBE+U optimized geometry; total DFT energy (no corrections) = -6.000 eV per atom; symmetry = C2/c (15)
1.0
5.888 0.270 0.281
2.033 7.035 0.715
2.033 0.454 7.057
Bi Li O Mo
2 4 12 2
Direct
0.750 0.096 0.904
0.250 0.904 0.096
0.849 0.632 0.785
0.651 0.215 0.368
0.349 0.785 0.632
0.151 0.368 0.215
0.822 0.012 0.200
0.749 0.462 0.295
0.251 0.538 0.705
0.902 0.352 0.844
0.751 0.705 0.538
0.402 0.844 0.352
0.249 0.295 0.462
0.322 0.200 0.012
0.678 0.800 0.988
0.098 0.648 0.156
0.598 0.156 0.648
0.178 0.988 0.800
0.250 0.295 0.705
0.750 0.705 0.295



Entry 3:
RbLiBi2Mo4O16 PBE+U optimized geometry; total DFT energy (no corrections) = -6.569 eV per atom; symmetry = C2/c (15)
1.0
-6.059 2.883 -2.329
2.007 -6.447 2.203
-6.068 3.879 18.786
Mo O Li Bi Rb
8 32 2 4 2
Direct
0.467 0.592 0.908
0.533 0.408 0.092
0.274 0.765 0.354
0.765 0.274 0.854
0.408 0.533 0.592
0.235 0.726 0.146
0.726 0.235 0.646
0.592 0.467 0.408
0.221 0.311 0.102
0.311 0.221 0.602
0.677 0.490 0.169
0.490 0.677 0.669
0.895 0.583 0.632
0.728 0.768 0.540
0.942 0.426 0.932
0.779 0.689 0.898
0.027 0.754 0.334
0.768 0.728 0.040
0.490 0.827 0.959
0.232 0.272 0.960
0.943 0.522 0.786
0.522 0.943 0.286
0.478 0.057 0.714
0.105 0.417 0.368
0.246 0.973 0.166
0.574 0.058 0.568
0.173 0.510 0.541
0.272 0.232 0.460
0.583 0.895 0.132
0.973 0.246 0.666
0.057 0.478 0.214
0.323 0.510 0.831
0.510 0.323 0.331
0.754 0.027 0.834
0.689 0.779 0.398
0.827 0.490 0.459
0.426 0.942 0.432
0.417 0.105 0.868
0.510 0.173 0.041
0.058 0.574 0.068
0.686 0.314 0.250
0.314 0.686 0.750
0.143 0.848 0.535
0.848 0.143 0.035
0.857 0.152 0.465
0.152 0.857 0.965
0.032 0.968 0.750
0.968 0.032 0.250